1.
An optimized crystal structure of Na2LaAlFe, computed with PBE.

Calculated values
* symmetry: P4/mmm (123)
* ΔH_f (0 K): 5.465 eV per formula unit

```
Na2LaAlFe
1.0
6.155 0.000 0.000
0.000 6.155 0.000
0.000 0.000 4.316
Na La Al Fe
2 1 1 1
Direct
0.000 0.500 0.000 Na
0.500 0.000 0.000 Na
0.000 0.000 0.000 La
0.500 0.500 0.500 Al
0.000 0.000 0.500 Fe
```


2.
An optimized crystal structure of ZrAs, computed with PBE.

Calculated values
* symmetry: P6_3/m (176)
* ΔH_f (0 K): -1.713 eV per formula unit

```
ZrAs
1.0
7.816 0.000 0.000
-3.908 6.769 0.000
0.000 0.000 5.362
Zr As
6 6
Direct
0.066 0.377 0.250 Zr
0.311 0.934 0.250 Zr
0.377 0.311 0.750 Zr
0.623 0.689 0.250 Zr
0.689 0.066 0.750 Zr
0.934 0.623 0.750 Zr
0.075 0.374 0.750 As
0.299 0.925 0.750 As
0.374 0.299 0.250 As
0.626 0.701 0.750 As
0.701 0.075 0.250 As
0.925 0.626 0.250 As
```


3.
An optimized crystal structure of Cu2AgPO4, computed with PBE.

Calculated values
* symmetry: Fmm2 (42)
* E_form (uncorrected): -104.1 kJ/mol of atoms

```
Cu2AgPO4
1.0
0.000 4.245 3.600
3.387 0.000 3.600
3.387 4.245 0.000
Cu Ag P O
2 1 1 4
Direct
0.000 0.000 0.500 Cu
0.500 0.500 0.000 Cu
0.351 0.351 0.649 Ag
0.831 0.831 0.169 P
0.115 0.816 0.184 O
0.523 0.899 0.477 O
0.816 0.115 0.885 O
0.899 0.523 0.101 O
```


4.
An optimized crystal structure of Sm5Zn2Pb, computed with PBE.

Calculated values
* symmetry: I4/mcm (140)
* ΔH_f (0 K): -2.533 eV per formula unit

```
Sm5Zn2Pb
1.0
-4.182 4.182 6.501
4.182 -4.182 6.501
4.182 4.182 -6.501
Sm Zn Pb
10 4 2
Direct
0.000 0.000 0.000 Sm
0.008 0.508 0.806 Sm
0.203 0.008 0.500 Sm
0.297 0.797 0.806 Sm
0.492 0.297 0.500 Sm
0.500 0.500 0.000 Sm
0.508 0.703 0.500 Sm
0.703 0.203 0.194 Sm
0.797 0.992 0.500 Sm
0.992 0.492 0.194 Sm
0.141 0.359 0.500 Zn
0.359 0.859 0.219 Zn
0.641 0.141 0.781 Zn
0.859 0.641 0.500 Zn
0.250 0.250 0.000 Pb
0.750 0.750 0.000 Pb
```


The records above yield total DFT energy (no corrections) values of -2.86, -7.46, -5.61, -4.05 eV/atom, respectively.
The records above yield calculated volume values of 32.707, 23.638, 12.942, 28.428 Å³ per atom, respectively.